{"formula": "IrPdN", "functional": "GGA-PBE", "state": "optimized geometry", "cell": [[2.857, 0.000, 0.000], [-1.317, 2.550, 0.000], [-1.350, -0.904, 10.906]], "species": ["Ir", "Ir", "Pd", "Pd", "N", "N"], "fractional_positions": [[0.237, 0.384, 0.110], [0.763, 0.616, 0.890], [0.241, 0.857, 0.602], [0.759, 0.143, 0.398], [0.358, 0.925, 0.789], [0.642, 0.075, 0.211]], "e_tot_ev_per_cell": -42.0, "volume_a3_per_atom": 13.24, "raw_formation_energy_ev_per_atom": 0.465, "sg": "P-1, No. 2"}



{"formula": "Tb4Pd2Au", "functional": "GGA-PBE", "state": "optimized geometry", "cell": [[2.484, 1.434, 8.219], [-2.484, 1.434, 8.219], [0.000, -2.868, 8.219]], "species": ["Tb", "Tb", "Tb", "Tb", "Pd", "Pd", "Au"], "fractional_positions": [[0.123, 0.123, 0.123], [0.373, 0.373, 0.373], [0.627, 0.627, 0.627], [0.877, 0.877, 0.877], [0.254, 0.254, 0.254], [0.746, 0.746, 0.746], [0.500, 0.500, 0.500]], "e_tot_ev_per_cell": -37.0, "formation_enthalpy_0k_ev_per_atom": -0.689, "volume_a3_per_atom": 25.10, "sg": "R-3m, No. 166"}



{"formula": "La2ReSe", "functional": "GGA-PBE", "state": "optimized geometry", "cell": [[4.437, 0.000, 0.000], [-2.219, 3.843, 0.000], [0.000, 0.000, 21.003]], "species": ["La", "La", "La", "La", "La", "La", "Re", "Re", "Re", "Se", "Se", "Se"], "fractional_positions": [[0.000, 0.000, 0.000], [0.000, 0.000, 0.166], [0.333, 0.667, 0.667], [0.333, 0.667, 0.832], [0.667, 0.333, 0.333], [0.667, 0.333, 0.499], [0.000, 0.000, 0.753], [0.333, 0.667, 0.420], [0.667, 0.333, 0.087], [0.000, 0.000, 0.411], [0.333, 0.667, 0.078], [0.667, 0.333, 0.745]], "e_tot_ev_per_cell": -80.9, "volume_a3_per_atom": 29.84, "raw_formation_energy_ev_per_atom": -0.291, "sg": "R3m, No. 160"}